Entry 1:
Cs2MoPCl6 | PBE | relaxed

Unit cell a=7.088 b=7.088 c=7.887 alpha=63.30 beta=63.30 gamma=90.00
Each line ends with the local moment (μB).
Atoms (fractional coordinates):
Cs1 0.750 0.250 0.500  0.00
Cs2 0.250 0.750 0.500  0.00
P1 0.500 0.500 0.000  -0.05
Mo1 0.000 0.000 0.000  2.63
Cl1 0.202 0.202 0.596  0.01
Cl2 0.798 0.798 0.404  0.01
Cl3 0.251 0.251 0.000  0.00
Cl4 0.749 0.749 0.000  0.00
Cl5 0.749 0.251 0.000  0.00
Cl6 0.251 0.749 0.000  0.00

Summary:
For the total energy, the calculation gives -3.876 eV per atom. The space group is I4/mmm.

Entry 2:
Cs2MoPtCl6 | PBE | relaxed

Unit cell a=8.244 b=8.244 c=7.441 alpha=56.36 beta=56.36 gamma=90.00
Each line ends with the local moment (μB).
Atoms (fractional coordinates):
Cs1 0.750 0.250 0.500  0.00
Cs2 0.250 0.750 0.500  0.00
Mo1 0.500 0.500 0.000  1.95
Pt1 0.000 0.000 0.000  -0.29
Cl1 0.241 0.241 0.517  -0.03
Cl2 0.759 0.759 0.483  -0.03
Cl3 0.290 0.290 0.000  0.02
Cl4 0.710 0.710 0.000  0.02
Cl5 0.710 0.290 0.000  0.03
Cl6 0.290 0.710 0.000  0.03

Summary:
For the total energy, the calculation gives -3.983 eV per atom. The space group is I4/mmm.

Entry 3:
CsRb2MoCl6 | PBE | relaxed

Unit cell a=7.328 b=9.228 c=11.229 alpha=90.00 beta=90.00 gamma=90.00
Each line ends with the local moment (μB).
Atoms (fractional coordinates):
Cs1 0.000 0.671 0.500  0.00
Cs2 0.500 0.329 0.000  0.00
Rb1 0.500 0.840 0.200  0.00
Rb2 0.000 0.160 0.700  0.00
Rb3 0.500 0.840 0.800  0.00
Rb4 0.000 0.160 0.300  0.00
Mo1 0.500 0.179 0.500  2.46
Mo2 0.000 0.821 0.000  2.46
Cl1 0.500 0.183 0.280  0.01
Cl2 0.500 0.183 0.720  0.01
Cl3 0.000 0.817 0.220  0.01
Cl4 0.000 0.817 0.780  0.01
Cl5 0.268 0.983 0.500  0.01
Cl6 0.732 0.983 0.500  0.01
Cl7 0.257 0.363 0.500  0.02
Cl8 0.743 0.363 0.500  0.02
Cl9 0.757 0.637 0.000  0.02
Cl10 0.243 0.637 0.000  0.02
Cl11 0.232 0.017 0.000  0.01
Cl12 0.768 0.017 0.000  0.01

Summary:
The relative energy among the computed polymorphs is 0.00 eV per formula unit. The space group is Pmmn.

Entry 4:
CsRb2MoCl6 | PBE | relaxed

Unit cell a=8.044 b=8.044 c=8.044 alpha=60.00 beta=60.00 gamma=90.00
Each line ends with the local moment (μB).
Atoms (fractional coordinates):
Cs1 0.000 0.000 0.000  0.00
Mo1 0.500 0.500 0.000  2.45
Rb1 0.750 0.250 0.500  0.00
Rb2 0.250 0.750 0.500  0.00
Cl1 0.284 0.284 0.432  0.01
Cl2 0.716 0.716 0.568  0.01
Cl3 0.284 0.284 0.000  0.01
Cl4 0.716 0.716 0.000  0.01
Cl5 0.716 0.284 0.000  0.01
Cl6 0.284 0.716 0.000  0.01

Summary:
The relative energy among the computed polymorphs is 0.44 eV per formula unit. The space group is Fm-3m.

Entry 5:
CsRbMoCl6 | PBE | relaxed

Unit cell a=7.743 b=7.743 c=6.877 alpha=90.00 beta=90.00 gamma=60.00
Each line ends with the local moment (μB).
Atoms (fractional coordinates):
Cs1 0.000 0.000 0.000  0.00
Rb1 0.667 0.667 0.500  0.00
Mo1 0.333 0.333 0.500  1.68
Cl1 0.081 0.332 0.296  0.01
Cl2 0.332 0.081 0.704  0.01
Cl3 0.587 0.332 0.704  0.01
Cl4 0.081 0.587 0.704  0.01
Cl5 0.332 0.587 0.296  0.01
Cl6 0.587 0.081 0.296  0.01

Summary:
For the total energy, the calculation gives -4.016 eV per atom. The space group is P312.

Entry 6:
Cs2MoSCl6 | PBE | relaxed

Unit cell a=7.616 b=7.616 c=7.969 alpha=61.46 beta=61.46 gamma=90.00
Each line ends with the local moment (μB).
Atoms (fractional coordinates):
Cs1 0.750 0.250 0.500  0.00
Cs2 0.250 0.750 0.500  0.00
Mo1 0.000 0.000 0.000  1.79
S1 0.500 0.500 0.000  1.00
Cl1 0.205 0.205 0.591  0.01
Cl2 0.795 0.795 0.409  0.01
Cl3 0.224 0.224 0.000  0.06
Cl4 0.776 0.776 0.000  0.06
Cl5 0.776 0.224 0.000  0.06
Cl6 0.224 0.776 0.000  0.06

Summary:
For the total energy, the calculation gives -3.764 eV per atom. The space group is I4/mmm.